No. 1
Below is TaAgGe2S after structural relaxation, with properties calculated at the GGA-PBE level. Values from VASP.

The structure in Quantum ESPRESSO input format:
```
&SYSTEM
  ibrav = 0, nat = 5, ntyp = 4
/
ATOMIC_SPECIES
Ta 180.95 Ta.upf
Ag 107.87 Ag.upf
Ge 72.64 Ge.upf
S 32.06 S.upf
CELL_PARAMETERS angstrom
5.1195 0.0000 0.0000
0.0000 5.1195 0.0000
0.0000 0.0000 4.6698
ATOMIC_POSITIONS angstrom
Ta 0.0000 0.0000 0.0000
Ag 2.5598 2.5598 2.3349
Ge 0.0000 2.5598 0.0000
Ge 2.5598 0.0000 0.0000
S 0.0000 0.0000 2.3349
```

Summary:
E_form (uncorrected) ... 0.406 eV per atom
DFT total energy ... -26.04 eV for the cell shown
DOS at the Fermi energy ... 4.4 states/eV/f.u.

---

No. 2
Below is Ag2GeTeS4 after structural relaxation, with properties calculated at the GGA-PBE level. Values from VASP.

The structure in Quantum ESPRESSO input format:
```
&SYSTEM
  ibrav = 0, nat = 8, ntyp = 4
/
ATOMIC_SPECIES
Ag 107.87 Ag.upf
Ge 72.64 Ge.upf
Te 127.60 Te.upf
S 32.06 S.upf
CELL_PARAMETERS angstrom
5.5582 0.0000 0.0000
-0.3163 5.8989 0.0000
-0.4612 -2.2623 6.7952
ATOMIC_POSITIONS angstrom
Ag 0.0000 0.0000 0.0000
Ag -0.0689 2.6795 1.6937
Ge 2.2714 0.5941 6.6554
Te 5.1337 0.5575 3.8578
S 0.8881 1.9211 5.3641
S 1.8395 1.2902 1.1769
S 3.5747 -0.7286 5.2754
S 3.7490 4.2850 1.2330
```

Summary:
E_form (uncorrected) ... -0.099 eV per atom
DFT total energy ... -30.77 eV for the cell shown